HfTl2Rh | PBE | optimized geometry

Structure (POSCAR):
```
HfTl2Rh
1.0
1.2287 -4.0734 2.3342
1.1927 0.1629 4.7012
-2.9872 -1.8848 3.3279
Tl Rh Hf
2 1 1
Cartesian
-0.1415 -1.4488 2.5908 Tl
-0.4244 -4.3465 7.7725 Tl
0.0000 0.0000 0.0000 Rh
-0.2829 -2.8976 5.1817 Hf
```

Summary:
- Spin magnetization: 0.00 μB/cell
- Total DFT energy (no corrections): -5.350 eV per atom
- Formation energy: 159.4 meV/atom